80
Lattice="11.1901 0.0000 0.0000 -3.7300 10.5502 0.0000 -3.7300 -5.2751 9.1367" Properties=species:S:1:pos:R:3 comment="PBE Ho3Pu5H12, optimized geometry" dos_at_fermi_per_ev_fu=37.11 magnetic_moment_mub_per_cell=26.7 energy_ev_per_atom=-6.531 pbc="T T T"
Ho 6.5276 3.2969 1.1421
Ho 6.5276 7.2532 1.1421
Ho -0.9325 4.6157 5.7104
Ho 0.9325 -0.6594 3.4263
Ho 8.3926 0.0000 2.2842
Ho 0.9325 5.2751 2.2842
Ho 2.7975 0.0000 6.8525
Ho -4.6626 5.2751 6.8525
Ho 2.7975 5.9345 5.7104
Ho 4.6626 0.6594 3.4263
Ho -2.7975 -1.9782 7.9946
Ho -2.7975 1.9782 7.9946
Pu -0.9325 2.6375 2.2842
Pu -1.8650 5.2751 0.0000
Pu 0.0000 0.0000 0.0000
Pu 2.7975 1.9782 1.1421
Pu 3.7300 -2.6375 4.5684
Pu 3.7300 5.2751 0.0000
Pu -2.7975 5.9345 3.4263
Pu 4.6626 -3.2969 7.9946
Pu 4.6626 4.6157 3.4263
Pu 0.9325 -2.6375 6.8525
Pu 2.7975 7.9126 2.2842
Pu 1.8650 2.6375 4.5684
Pu 5.5951 0.0000 0.0000
Pu -1.8650 -2.6375 4.5684
Pu -0.9325 0.6594 5.7104
Pu -0.9325 8.5720 1.1421
Pu -3.7300 2.6375 4.5684
Pu 6.5276 -0.6594 5.7104
Pu 0.9325 3.2969 7.9946
Pu 4.6626 2.6375 6.8525
H 7.3022 1.2439 0.6702
H 0.1579 3.8399 3.8262
H 8.0683 2.2123 2.4803
H 4.9869 1.5956 1.4123
H 1.2613 4.2300 5.9862
H 7.6225 5.3134 1.4178
H -0.6082 5.8917 3.8926
H -3.1218 8.9545 1.4123
H 0.6037 6.3202 5.9862
H 5.4327 5.2367 1.4178
H 5.7530 2.6791 3.1560
H 5.7530 9.3063 0.6702
H -3.1263 4.6617 5.2385
H 2.0274 4.0280 0.6757
H -3.8879 7.8711 3.1560
H 2.0229 -1.4352 5.3105
H -0.6037 0.4317 2.0880
H 2.0274 6.4838 0.7421
H 4.9869 8.3379 2.4803
H -0.1624 4.0664 0.7421
H -2.4687 5.7067 7.0487
H 2.4732 4.6585 3.8926
H 4.9914 5.8885 5.2385
H 3.8925 -1.2471 8.4610
H 1.2568 0.6166 5.2441
H -1.2613 -0.6134 3.8982
H -0.1624 6.5221 0.6757
H -1.2568 -3.0628 6.6564
H 6.1988 -0.4317 2.0880
H 3.8924 1.2087 8.3946
H 1.7026 -1.2087 8.3946
H 1.7071 6.7103 3.8262
H 4.3337 4.8434 7.0487
H 7.6180 -2.5960 5.9807
H 6.8564 0.6134 3.8982
H -2.0229 -4.0312 8.4665
H 1.7026 1.2471 8.4610
H 3.1264 -1.0451 3.1505
H -1.7026 0.0383 7.7189
H -2.0229 2.5960 5.9807
H 6.8519 -3.6794 7.7244
H 4.3382 -0.6166 5.2441
H -1.2568 3.6794 7.7244
H -3.8925 -0.0383 7.7189
H 2.4687 1.0451 3.1505
H -4.3382 3.0628 6.6564
H 3.5721 1.4352 5.3105
H -3.5721 4.0312 8.4665